Density functional theory data (PBE-GGA) for a relaxed ZrCr3Cl crystal.

As for the energy relative to the lowest polymorph listed for this composition: 1.090 eV/atom. The calculation puts the uncorrected formation energy at 1693 meV/atom. As for the spin magnetization: 10.8 μB/f.u.

abc: 4.967 4.967 4.967
angles: 90.00 90.00 90.00
Fractional coordinates of all 5 atoms:
Cr  0.000  0.500  0.000
Cr  0.500  0.000  0.000
Cr  0.000  0.000  0.500
Zr  0.000  0.000  0.000
Cl  0.500  0.500  0.500